--- a ---
Below is a relaxed structure of BeRe3Pb, with properties calculated at the PBE level.

Unit cell a=4.286 b=4.286 c=4.286 alpha=90.00 beta=90.00 gamma=90.00
Element x y z (fractional)
Be 0.000 0.000 0.000
Re 0.000 0.000 0.500
Re 0.000 0.500 0.000
Re 0.500 0.000 0.000
Pb 0.500 0.500 0.500

Output
Spin magnetization in μB per formula unit: 0.0
Fermi-level density of states in states/eV per atom: 1.3201



--- b ---
Below is a relaxed structure of BeRe3Pb, with properties calculated at the PBE level.

Unit cell a=4.956 b=4.956 c=4.956 alpha=90.00 beta=90.00 gamma=90.00
Element x y z (fractional)
Be 0.000 0.000 0.000
Re 0.000 0.500 0.500
Re 0.500 0.000 0.500
Re 0.500 0.500 0.000
Pb 0.500 0.500 0.500

Output
Spin magnetization in μB per formula unit: 3.4
Fermi-level density of states in states/eV per atom: 1.4468



Best to worst by energy: a, b.



--- a ---
Below is a relaxed structure of BeRePb3, with properties calculated at the PBE level.

Unit cell a=5.010 b=5.010 c=5.010 alpha=90.00 beta=90.00 gamma=90.00
Element x y z (fractional)
Be 0.000 0.000 0.000
Re 0.500 0.500 0.500
Pb 0.000 0.000 0.500
Pb 0.000 0.500 0.000
Pb 0.500 0.000 0.000

Output
Spin magnetization in μB per formula unit: 3.1
Fermi-level density of states in states/eV per atom: 0.6763



--- b ---
Below is a relaxed structure of BeRePb3, with properties calculated at the PBE level.

Unit cell a=5.351 b=5.351 c=5.351 alpha=90.00 beta=90.00 gamma=90.00
Element x y z (fractional)
Be 0.000 0.000 0.000
Re 0.500 0.500 0.500
Pb 0.000 0.500 0.500
Pb 0.500 0.000 0.500
Pb 0.500 0.500 0.000

Output
Spin magnetization in μB per formula unit: 0.0
Fermi-level density of states in states/eV per atom: 1.0989



Best to worst by energy: b, a.



--- a ---
Below is a relaxed structure of BeRh3Pb, with properties calculated at the PBE level.

Unit cell a=4.939 b=4.939 c=4.939 alpha=90.00 beta=90.00 gamma=90.00
Element x y z (fractional)
Be 0.000 0.000 0.000
Rh 0.000 0.500 0.500
Rh 0.500 0.000 0.500
Rh 0.500 0.500 0.000
Pb 0.500 0.500 0.500

Output
Spin magnetization in μB per formula unit: 0.9
Fermi-level density of states in states/eV per atom: 0.6824



--- b ---
Below is a relaxed structure of BeRh3Pb, with properties calculated at the PBE level.

Unit cell a=4.243 b=4.243 c=4.243 alpha=90.00 beta=90.00 gamma=90.00
Element x y z (fractional)
Be 0.000 0.000 0.000
Rh 0.000 0.000 0.500
Rh 0.000 0.500 0.000
Rh 0.500 0.000 0.000
Pb 0.500 0.500 0.500

Output
Spin magnetization in μB per formula unit: 0.0
Fermi-level density of states in states/eV per atom: 1.1122



Best to worst by energy: b, a.



--- a ---
Below is a relaxed structure of BeRhPb3, with properties calculated at the PBE level.

Unit cell a=5.284 b=5.284 c=5.284 alpha=90.00 beta=90.00 gamma=90.00
Element x y z (fractional)
Be 0.000 0.000 0.000
Rh 0.500 0.500 0.500
Pb 0.000 0.500 0.500
Pb 0.500 0.000 0.500
Pb 0.500 0.500 0.000

Output
Spin magnetization in μB per formula unit: 0.0
Fermi-level density of states in states/eV per atom: 0.4949



--- b ---
Below is a relaxed structure of BeRhPb3, with properties calculated at the PBE level.

Unit cell a=4.950 b=4.950 c=4.950 alpha=90.00 beta=90.00 gamma=90.00
Element x y z (fractional)
Be 0.000 0.000 0.000
Rh 0.500 0.500 0.500
Pb 0.000 0.000 0.500
Pb 0.000 0.500 0.000
Pb 0.500 0.000 0.000

Output
Spin magnetization in μB per formula unit: 0.0
Fermi-level density of states in states/eV per atom: 0.9351



Best to worst by energy: a, b.



--- a ---
Below is a relaxed structure of BeRuPb, with properties calculated at the PBE level.

Unit cell a=3.959 b=3.959 c=3.580 alpha=90.00 beta=90.00 gamma=120.00
Element x y z (fractional)
Be 0.000 0.000 0.000
Ru 0.333 0.667 0.000
Pb 0.667 0.333 0.500

Output
Spin magnetization in μB per formula unit: 0.0
Fermi-level density of states in states/eV per atom: 0.6194



--- b ---
Below is a relaxed structure of BeRuPb, with properties calculated at the PBE level.

Unit cell a=3.125 b=3.125 c=6.127 alpha=90.00 beta=90.00 gamma=120.00
Element x y z (fractional)
Be 0.000 0.000 0.000
Ru 0.667 0.333 0.769
Pb 0.333 0.667 0.396

Output
Spin magnetization in μB per formula unit: 0.0
Fermi-level density of states in states/eV per atom: 0.8327



Best to worst by energy: a, b.



--- a ---
Below is a relaxed structure of BeRuPb, with properties calculated at the PBE level.

Unit cell a=4.114 b=4.114 c=4.114 alpha=60.00 beta=60.00 gamma=60.00
Element x y z (fractional)
Be 0.000 0.000 0.000
Ru 0.750 0.750 0.750
Pb 0.250 0.250 0.250

Output
Spin magnetization in μB per formula unit: 0.0
Fermi-level density of states in states/eV per atom: 0.7077



--- b ---
Below is a relaxed structure of BeRuPb, with properties calculated at the PBE level.

Unit cell a=5.276 b=5.276 c=5.276 alpha=144.84 beta=144.84 gamma=50.57
Element x y z (fractional)
Be 0.000 0.000 0.000
Ru 0.572 0.572 0.000
Pb 0.277 0.277 0.000

Output
Spin magnetization in μB per formula unit: 0.0
Fermi-level density of states in states/eV per atom: 0.1016



Best to worst by energy: b, a.



--- a ---
Below is a relaxed structure of BePbS2, with properties calculated at the PBE level.

Unit cell a=6.050 b=6.050 c=6.050 alpha=115.62 beta=115.62 gamma=97.76
Element x y z (fractional)
Be 0.000 0.000 0.000
Be 0.750 0.250 0.500
Pb 0.250 0.750 0.500
Pb 0.500 0.500 0.000
S 0.023 0.625 0.898
S 0.375 0.273 0.398
S 0.727 0.125 0.102
S 0.875 0.977 0.602

Output
Spin magnetization in μB per formula unit: 0.0
Fermi-level density of states in states/eV per atom: 0.0000



--- b ---
Below is a relaxed structure of BePbS2, with properties calculated at the PBE level.

Unit cell a=4.777 b=4.777 c=4.777 alpha=60.00 beta=60.00 gamma=60.00
Element x y z (fractional)
Be 0.000 0.000 0.000
Pb 0.500 0.500 0.500
S 0.250 0.250 0.250
S 0.750 0.750 0.750

Output
Spin magnetization in μB per formula unit: 0.0
Fermi-level density of states in states/eV per atom: 0.1790



--- c ---
Below is a relaxed structure of BePbS2, with properties calculated at the PBE level.

Unit cell a=8.132 b=8.132 c=8.132 alpha=23.95 beta=23.95 gamma=23.95
Element x y z (fractional)
Be 0.000 0.000 0.000
Pb 0.500 0.500 0.500
S 0.383 0.383 0.383
S 0.617 0.617 0.617

Output
Spin magnetization in μB per formula unit: 0.0
Fermi-level density of states in states/eV per atom: 0.8821



Best to worst by energy: a, c, b.



--- a ---
Below is a relaxed structure of BePb2S, with properties calculated at the PBE level.

Unit cell a=7.496 b=7.496 c=7.496 alpha=132.88 beta=132.88 gamma=68.85
Element x y z (fractional)
Be 0.000 0.000 0.000
Be 0.750 0.250 0.500
Pb 0.079 0.625 0.954
Pb 0.375 0.329 0.454
Pb 0.671 0.125 0.046
Pb 0.875 0.921 0.546
S 0.250 0.750 0.500
S 0.500 0.500 0.000

Output
Spin magnetization in μB per formula unit: 0.0
Fermi-level density of states in states/eV per atom: 0.0000



--- b ---
Below is a relaxed structure of BePb2S, with properties calculated at the PBE level.

Unit cell a=5.063 b=5.063 c=5.063 alpha=60.00 beta=60.00 gamma=60.00
Element x y z (fractional)
Be 0.000 0.000 0.000
Pb 0.250 0.250 0.250
Pb 0.750 0.750 0.750
S 0.500 0.500 0.500

Output
Spin magnetization in μB per formula unit: 0.0
Fermi-level density of states in states/eV per atom: 0.6797



Best to worst by energy: a, b.



--- a ---
Below is a relaxed structure of BeSb2Pb, with properties calculated at the PBE level.

Unit cell a=4.848 b=3.959 c=5.810 alpha=90.00 beta=104.39 gamma=90.00
Element x y z (fractional)
Be 0.000 0.000 0.000
Sb 0.082 0.500 0.261
Sb 0.804 0.000 0.572
Pb 0.481 0.500 0.857

Output
Spin magnetization in μB per formula unit: 0.0
Fermi-level density of states in states/eV per atom: 0.5184



--- b ---
Below is a relaxed structure of BeSb2Pb, with properties calculated at the PBE level.

Unit cell a=3.222 b=3.222 c=9.499 alpha=90.00 beta=90.00 gamma=90.00
Element x y z (fractional)
Be 0.000 0.000 0.000
Sb 0.000 0.000 0.512
Sb 0.500 0.500 0.837
Pb 0.500 0.500 0.212

Output
Spin magnetization in μB per formula unit: 0.0
Fermi-level density of states in states/eV per atom: 0.5441



Best to worst by energy: a, b.



--- a ---
Below is a relaxed structure of BeSb2Pb, with properties calculated at the PBE level.

Unit cell a=5.795 b=5.795 c=3.345 alpha=98.29 beta=98.29 gamma=110.07
Element x y z (fractional)
Be 0.000 0.000 0.000
Sb 0.000 0.500 0.500
Sb 0.500 0.000 0.500
Pb 0.500 0.500 0.000

Output
Spin magnetization in μB per formula unit: 0.0
Fermi-level density of states in states/eV per atom: 0.4909



--- b ---
Below is a relaxed structure of BeSb2Pb, with properties calculated at the PBE level.

Unit cell a=4.265 b=4.265 c=7.346 alpha=101.61 beta=101.61 gamma=54.11
Element x y z (fractional)
Be 0.000 0.000 0.000
Sb 0.528 0.528 0.235
Sb 0.663 0.663 0.875
Pb 0.281 0.281 0.525

Output
Spin magnetization in μB per formula unit: 0.0
Fermi-level density of states in states/eV per atom: 0.5527



--- c ---
Below is a relaxed structure of BeSb2Pb, with properties calculated at the PBE level.

Unit cell a=5.809 b=5.809 c=5.809 alpha=141.76 beta=118.83 gamma=74.48
Element x y z (fractional)
Be 0.000 0.000 0.000
Sb 0.174 0.674 0.500
Sb 0.826 0.326 0.500
Pb 0.500 0.500 0.000

Output
Spin magnetization in μB per formula unit: 0.0
Fermi-level density of states in states/eV per atom: 0.5954



Best to worst by energy: b, c, a.



--- a ---
Below is a relaxed structure of Be2SbPb2, with properties calculated at the PBE level.

Unit cell a=10.981 b=10.981 c=10.981 alpha=163.11 beta=163.11 gamma=23.97
Element x y z (fractional)
Be 0.250 0.750 0.500
Be 0.750 0.250 0.500
Sb 0.000 0.000 0.000
Pb 0.364 0.364 0.000
Pb 0.636 0.636 0.000

Output
Spin magnetization in μB per formula unit: 0.0
Fermi-level density of states in states/eV per atom: 0.4584



--- b ---
Below is a relaxed structure of Be2SbPb2, with properties calculated at the PBE level.

Unit cell a=8.583 b=8.583 c=3.198 alpha=90.00 beta=90.00 gamma=90.00
Element x y z (fractional)
Be 0.090 0.410 0.000
Be 0.410 0.910 0.000
Be 0.590 0.090 0.000
Be 0.910 0.590 0.000
Sb 0.000 0.000 0.500
Sb 0.500 0.500 0.500
Pb 0.203 0.703 0.500
Pb 0.297 0.203 0.500
Pb 0.703 0.797 0.500
Pb 0.797 0.297 0.500

Output
Spin magnetization in μB per formula unit: 0.0
Fermi-level density of states in states/eV per atom: 0.5696



Best to worst by energy: a, b.



--- a ---
Below is a relaxed structure of BeSbPb3, with properties calculated at the PBE level.

Unit cell a=5.166 b=5.166 c=5.166 alpha=90.00 beta=90.00 gamma=90.00
Element x y z (fractional)
Be 0.000 0.000 0.000
Sb 0.500 0.500 0.500
Pb 0.000 0.000 0.500
Pb 0.000 0.500 0.000
Pb 0.500 0.000 0.000

Output
Spin magnetization in μB per formula unit: 0.0
Fermi-level density of states in states/eV per atom: 0.4028



--- b ---
Below is a relaxed structure of BeSbPb3, with properties calculated at the PBE level.

Unit cell a=5.949 b=5.949 c=5.949 alpha=90.00 beta=90.00 gamma=90.00
Element x y z (fractional)
Be 0.000 0.000 0.000
Sb 0.500 0.500 0.500
Pb 0.000 0.500 0.500
Pb 0.500 0.000 0.500
Pb 0.500 0.500 0.000

Output
Spin magnetization in μB per formula unit: 0.0
Fermi-level density of states in states/eV per atom: 0.9633



Best to worst by energy: a, b.



--- a ---
Below is a relaxed structure of Sc2BePb, with properties calculated at the PBE level.

Unit cell a=4.399 b=4.399 c=4.170 alpha=90.00 beta=90.00 gamma=90.00
Element x y z (fractional)
Sc 0.000 0.500 0.000
Sc 0.500 0.000 0.000
Be 0.000 0.000 0.500
Pb 0.500 0.500 0.500

Output
Spin magnetization in μB per formula unit: 0.7
Fermi-level density of states in states/eV per atom: 0.7652



--- b ---
Below is a relaxed structure of Sc2BePb, with properties calculated at the PBE level.

Unit cell a=9.857 b=9.857 c=9.857 alpha=19.64 beta=19.64 gamma=19.64
Element x y z (fractional)
Sc 0.105 0.105 0.105
Sc 0.895 0.895 0.895
Be 0.500 0.500 0.500
Pb 0.000 0.000 0.000

Output
Spin magnetization in μB per formula unit: 0.0
Fermi-level density of states in states/eV per atom: 1.3238



Best to worst by energy: a, b.